No. 1
BaEuPdPt | GGA-PBE | relaxed

a b c (Å): 7.508 7.508 7.508
angles (deg): 90.00 90.00 90.00
Positions (direct):
Ba (0.000, 0.000, 0.000)
Ba (0.000, 0.500, 0.500)
Ba (0.500, 0.000, 0.500)
Ba (0.500, 0.500, 0.000)
Eu (0.000, 0.000, 0.500)
Eu (0.000, 0.500, 0.000)
Eu (0.500, 0.000, 0.000)
Eu (0.500, 0.500, 0.500)
Pd (0.250, 0.250, 0.250)
Pd (0.250, 0.750, 0.750)
Pd (0.750, 0.250, 0.750)
Pd (0.750, 0.750, 0.250)
Pt (0.250, 0.250, 0.750)
Pt (0.250, 0.750, 0.250)
Pt (0.750, 0.250, 0.250)
Pt (0.750, 0.750, 0.750)

Calculated values
Its density is 9273 kg/m3. Its crystal system is cubic. The calculation puts the total energy at -6.471 eV per atom. The calculation puts the energy relative to the elements at -614 meV/atom.


No. 2
BaEuTlPd | GGA-PBE | relaxed

a b c (Å): 7.932 7.932 7.932
angles (deg): 90.00 90.00 90.00
Positions (direct):
Ba (0.000, 0.000, 0.000)
Ba (0.000, 0.500, 0.500)
Ba (0.500, 0.000, 0.500)
Ba (0.500, 0.500, 0.000)
Eu (0.000, 0.000, 0.500)
Eu (0.000, 0.500, 0.000)
Eu (0.500, 0.000, 0.000)
Eu (0.500, 0.500, 0.500)
Tl (0.250, 0.250, 0.250)
Tl (0.250, 0.750, 0.750)
Tl (0.750, 0.250, 0.750)
Tl (0.750, 0.750, 0.250)
Pd (0.250, 0.250, 0.750)
Pd (0.250, 0.750, 0.250)
Pd (0.750, 0.250, 0.250)
Pd (0.750, 0.750, 0.750)

Calculated values
Its density is 7986 kg/m3. Its crystal system is cubic. The calculation puts the total energy at -5.287 eV per atom. The calculation puts the energy relative to the elements at -348 meV/atom.


No. 3
BaPmPrEu | GGA-PBE | relaxed

a b c (Å): 8.735 8.735 8.735
angles (deg): 90.00 90.00 90.00
Positions (direct):
Ba (0.000, 0.000, 0.000)
Ba (0.000, 0.500, 0.500)
Ba (0.500, 0.000, 0.500)
Ba (0.500, 0.500, 0.000)
Pm (0.250, 0.250, 0.750)
Pm (0.250, 0.750, 0.250)
Pm (0.750, 0.250, 0.250)
Pm (0.750, 0.750, 0.750)
Pr (0.000, 0.000, 0.500)
Pr (0.000, 0.500, 0.000)
Pr (0.500, 0.000, 0.000)
Pr (0.500, 0.500, 0.500)
Eu (0.250, 0.250, 0.250)
Eu (0.250, 0.750, 0.750)
Eu (0.750, 0.250, 0.750)
Eu (0.750, 0.750, 0.250)

Calculated values
Its density is 5733 kg/m3. Its crystal system is cubic. The calculation puts the total energy at -5.229 eV per atom. The calculation puts the energy relative to the elements at 203 meV/atom.


No. 4
BaPr2Eu | GGA-PBE | relaxed

a b c (Å): 3.874 3.874 11.119
angles (deg): 90.00 90.00 90.00
Positions (direct):
Ba (0.000, 0.000, 0.000)
Pr (0.500, 0.500, 0.270)
Pr (0.500, 0.500, 0.730)
Eu (0.000, 0.000, 0.500)

Calculated values
Its density is 5682 kg/m3. Its crystal system is tetragonal. As for the polymorph energy (0 for the lowest one): 0.00 eV per formula unit. The calculation puts the total energy at -5.292 eV per atom. The calculation puts the energy relative to the elements at 147 meV/atom.